No. 1
Entry from Alexandria via LeMat-Bulk: crystalline NbHgI at its relaxed geometry (GGA-PBE).

formation energy from raw total energies: 0.257 eV per atom
M_tot: 0.00 μB/f.u.
energy: -3.717 eV per atom

Lattice parameters (Å, degrees): 3.395 3.468 13.406 90.00 90.07 90.00
Space group P2_1/m (No. 11)
One atom of each set of equivalent atoms:
Nb 0.249 0.250 0.295 [2 per cell]
Hg 0.251 0.250 0.574 [2 per cell]
I 0.248 0.750 0.138 [2 per cell]


No. 2
Entry from Alexandria via LeMat-Bulk: crystalline Be6Ni at its relaxed geometry (GGA-PBE).

M_tot: 1.35 μB/f.u.
energy: -2.345 eV per atom
calculated formation energy: 1.67 eV per atom
energy relative to the lowest polymorph listed for this composition: 0.305 eV per atom

Lattice parameters (Å, degrees): 4.871 4.871 4.871 90.00 90.00 90.00
Space group Pm-3m (No. 221)
One atom of each set of equivalent atoms:
Be 0.000 0.000 0.303 [6 per cell]
Ni 0.500 0.500 0.500 [1 per cell]


No. 3
Entry from Alexandria via LeMat-Bulk: crystalline GaRe3Ir at its relaxed geometry (GGA-PBE).

M_tot: 2.25 μB/f.u.
energy: -7.652 eV per atom
calculated formation energy: 2.19 eV per atom
energy relative to the lowest polymorph listed for this composition: 0.197 eV per atom

Lattice parameters (Å, degrees): 4.746 4.746 4.746 90.00 90.00 90.00
Space group Pm-3m (No. 221)
One atom of each set of equivalent atoms:
Ga 0.000 0.000 0.000 [1 per cell]
Re 0.000 0.500 0.500 [3 per cell]
Ir 0.500 0.500 0.500 [1 per cell]


No. 4
Entry from Alexandria via LeMat-Bulk: crystalline Re2Os at its relaxed geometry (GGA-PBE).

M_tot: 0.00 μB/f.u.
energy: -11.979 eV per atom
calculated formation energy: 0.06 eV per atom
energy relative to the lowest polymorph listed for this composition: 0.137 eV per atom

Lattice parameters (Å, degrees): 2.749 3.891 8.291 90.00 90.00 90.00
Space group Immm (No. 71)
One atom of each set of equivalent atoms:
Re 0.000 0.000 0.166 [4 per cell]
Os 0.000 0.000 0.500 [2 per cell]


Repeat the fourth record exactly.
Entry from Alexandria via LeMat-Bulk: crystalline Re2Os at its relaxed geometry (GGA-PBE).

M_tot: 0.00 μB/f.u.
energy: -11.979 eV per atom
calculated formation energy: 0.06 eV per atom
energy relative to the lowest polymorph listed for this composition: 0.137 eV per atom

Lattice parameters (Å, degrees): 2.749 3.891 8.291 90.00 90.00 90.00
Space group Immm (No. 71)
One atom of each set of equivalent atoms:
Re 0.000 0.000 0.166 [4 per cell]
Os 0.000 0.000 0.500 [2 per cell]


> The highest energy belongs to which entry?

Be6Ni